Entry 1:
VASP calculation (PBE) on crystalline RbRuSe2Br at its relaxed geometry.

Formation energy from raw total energies in eV per atom: -0.354
Total DFT energy (no corrections) in eV/f.u.: -20.7
Offset from the most stable computed form in meV/atom: 0.0

Geometry as POSCAR:
```
RbRuSe2Br
1.0
4.875 0.000 0.000
0.000 4.875 0.000
0.000 0.000 5.740
Rb Ru Se Br
1 1 2 1
Direct
0.000 0.000 0.000
0.500 0.500 0.500
0.000 0.500 0.500
0.500 0.000 0.500
0.500 0.500 0.000
```

---

Entry 2:
VASP calculation (PBE) on crystalline RbRuSe2Br at its relaxed geometry.

Formation energy from raw total energies in eV per atom: 1.467
Total DFT energy (no corrections) in eV/f.u.: -11.6
Offset from the most stable computed form in meV/atom: 1820.9

Geometry as POSCAR:
```
RbRuSe2Br
1.0
6.054 0.000 0.000
0.000 6.054 0.000
0.000 0.000 6.030
Rb Ru Se Br
1 1 2 1
Direct
0.000 0.000 0.000
0.500 0.500 0.500
0.000 0.500 0.000
0.500 0.000 0.000
0.000 0.000 0.500
```

---

Entry 3:
VASP calculation (PBE) on crystalline RbSi2RuBr at its relaxed geometry.

Formation energy from raw total energies in eV per atom: 2.277
Total DFT energy (no corrections) in eV/f.u.: -11.4

Geometry as POSCAR:
```
RbSi2RuBr
1.0
5.742 0.000 0.000
0.000 5.742 0.000
0.000 0.000 5.773
Rb Si Ru Br
1 2 1 1
Direct
0.000 0.000 0.000
0.000 0.500 0.000
0.500 0.000 0.000
0.500 0.500 0.500
0.000 0.000 0.500
```